# 1
A PBEsol-optimized structure of FeSn2MoPb, computed with meta-GGA SCAN.

Cell and atoms, written as POSCAR:
```
FeSn2MoPb
1.0
5.557 0.000 0.000
0.000 5.557 0.000
0.000 0.000 5.245
Fe Sn Mo Pb
1 2 1 1
direct
0.000 0.000 0.000 Fe
0.000 0.500 0.500 Sn
0.500 0.000 0.500 Sn
0.500 0.500 0.000 Mo
0.500 0.500 0.500 Pb
```

Summary:
As for the total DFT energy (no corrections): -38.281 eV per atom. Its crystal system is tetragonal. The calculation puts the magnetic moment at 6.850 μB per formula unit.

# 2
A PBEsol-optimized structure of FeMo2Pt, computed with meta-GGA SCAN.

Cell and atoms, written as POSCAR:
```
FeMo2Pt
1.0
1.351 0.780 8.801
-1.351 0.780 8.801
0.000 -1.560 8.801
Fe Mo Pt
1 2 1
direct
0.000 0.000 0.000 Fe
0.255 0.255 0.255 Mo
0.745 0.745 0.745 Mo
0.500 0.500 0.500 Pt
```

Summary:
For the energy relative to the lowest polymorph listed for this composition, the calculation gives 272.2 meV/atom. Its crystal system is trigonal. The calculation puts the magnetic moment at 1.256 μB per formula unit.

# 3
A PBEsol-optimized structure of FeMo2Pt, computed with meta-GGA SCAN.

Cell and atoms, written as POSCAR:
```
FeMo2Pt
1.0
2.678 0.000 0.000
0.000 2.678 0.000
0.000 0.000 7.617
Fe Mo Pt
1 2 1
direct
0.000 0.000 0.000 Fe
0.500 0.500 0.227 Mo
0.500 0.500 0.773 Mo
0.000 0.000 0.500 Pt
```

Summary:
For the energy relative to the lowest polymorph listed for this composition, the calculation gives 18.4 meV/atom. Its crystal system is tetragonal. The calculation puts the magnetic moment at 0.015 μB per formula unit.

# 4
A PBEsol-optimized structure of FeMoPt, computed with meta-GGA SCAN.

Cell and atoms, written as POSCAR:
```
FeMoPt
1.0
-1.330 1.896 4.052
1.330 -1.896 4.052
1.330 1.896 -4.052
Fe Mo Pt
1 1 1
direct
0.000 0.000 0.000 Fe
0.658 0.658 0.000 Mo
0.332 0.332 0.000 Pt
```

Summary:
For the energy relative to the lowest polymorph listed for this composition, the calculation gives 0.0 meV/atom. Its crystal system is orthorhombic. The calculation puts the magnetic moment at 2.140 μB per formula unit.

# 5
A PBEsol-optimized structure of Fe2MoPt, computed with meta-GGA SCAN.

Cell and atoms, written as POSCAR:
```
Fe2MoPt
1.0
-1.844 1.844 3.775
1.844 -1.844 3.775
1.844 1.844 -3.775
Fe Mo Pt
2 1 1
direct
0.000 0.000 0.000 Fe
0.750 0.250 0.500 Fe
0.250 0.750 0.500 Mo
0.500 0.500 0.000 Pt
```

Summary:
As for the total DFT energy (no corrections): -35.501 eV per atom. Its crystal system is tetragonal. The calculation puts the magnetic moment at 3.729 μB per formula unit.

# 6
A PBEsol-optimized structure of FeMo2Pt, computed with meta-GGA SCAN.

Cell and atoms, written as POSCAR:
```
FeMo2Pt
1.0
3.232 0.000 0.000
0.000 3.232 0.000
0.000 0.000 5.447
Fe Mo Pt
1 2 1
direct
0.000 0.000 0.000 Fe
0.500 0.500 0.218 Mo
0.500 0.500 0.782 Mo
0.000 0.000 0.500 Pt
```

Summary:
For the energy relative to the lowest polymorph listed for this composition, the calculation gives 131.8 meV/atom. Its crystal system is tetragonal. The calculation puts the magnetic moment at 1.219 μB per formula unit.